Entry 1:
Computed, not measured: an optimized crystal structure of AcPrAgAs at the PBE level of DFT.

magnetic moment = 0.0 μB per formula unit
energy of formation from the pure elements = -0.6145 eV/atom
space-group type = No. 216
uncorrected energy = -4.712 eV/atom

a = 5.401 Å, b = 5.401 Å, c = 5.401 Å
α = 60.00°, β = 60.00°, γ = 60.00°
Atoms (fractional coordinates):
Ac  0.000  0.000  0.000
Pr  0.500  0.500  0.500
Ag  0.750  0.750  0.750
As  0.250  0.250  0.250

=====

Entry 2:
Computed, not measured: an optimized crystal structure of K3Sm2InSe6 at the PBE level of DFT.

magnetic moment = 0.0 μB per formula unit
space-group type = No. 12
uncorrected energy = -4.461 eV/atom
formation energy without anion corrections = -1.43 eV per atom

a = 7.348 Å, b = 7.348 Å, c = 8.106 Å
α = 98.70°, β = 98.70°, γ = 120.02°
Atoms (fractional coordinates):
K  0.000  0.000  0.000
K  0.332  0.668  0.000
K  0.668  0.332  0.000
Sm  0.166  0.834  0.500
Sm  0.834  0.166  0.500
In  0.500  0.500  0.500
Se  0.108  0.431  0.294
Se  0.246  0.246  0.706
Se  0.431  0.108  0.294
Se  0.569  0.892  0.706
Se  0.754  0.754  0.294
Se  0.892  0.569  0.706

=====

Entry 3:
Computed, not measured: an optimized crystal structure of IrSeS3 at the PBE level of DFT.

magnetic moment = 0.0 μB per formula unit
space-group type = No. 221
uncorrected energy = -4.275 eV/atom
formation energy without anion corrections = 0.67 eV per atom
energy above the lowest structure with this stoichiometry = 0.000 eV per atom

a = 4.631 Å, b = 4.631 Å, c = 4.631 Å
α = 90.00°, β = 90.00°, γ = 90.00°
Atoms (fractional coordinates):
Ir  0.000  0.000  0.000
Se  0.500  0.500  0.500
S  0.000  0.000  0.500
S  0.000  0.500  0.000
S  0.500  0.000  0.000

=====

Entry 4:
Computed, not measured: an optimized crystal structure of BaPbAu4 at the PBE level of DFT.

magnetic moment = 0.0 μB per formula unit
energy of formation from the pure elements = -0.3545 eV/atom
space-group type = No. 55
uncorrected energy = -3.478 eV/atom
energy above the lowest structure with this stoichiometry = 0.019 eV per atom

a = 8.682 Å, b = 18.464 Å, c = 4.048 Å
α = 90.00°, β = 90.00°, γ = 90.00°
Atoms (fractional coordinates):
Ba  0.124  0.161  0.000
Ba  0.376  0.661  0.000
Ba  0.624  0.339  0.000
Ba  0.876  0.839  0.000
Pb  0.128  0.415  0.000
Pb  0.372  0.915  0.000
Pb  0.628  0.085  0.000
Pb  0.872  0.585  0.000
Au  0.037  0.689  0.500
Au  0.111  0.951  0.500
Au  0.142  0.547  0.500
Au  0.212  0.809  0.500
Au  0.288  0.309  0.500
Au  0.358  0.047  0.500
Au  0.389  0.451  0.500
Au  0.463  0.189  0.500
Au  0.537  0.811  0.500
Au  0.611  0.549  0.500
Au  0.642  0.953  0.500
Au  0.712  0.691  0.500
Au  0.788  0.191  0.500
Au  0.858  0.453  0.500
Au  0.889  0.049  0.500
Au  0.963  0.311  0.500

=====

Entry 5:
Computed, not measured: an optimized crystal structure of HfFe3H at the PBE level of DFT.

magnetic moment = 4.8 μB per formula unit
space-group type = No. 221
uncorrected energy = -7.815 eV/atom
energy above the lowest structure with this stoichiometry = 0.000 eV per atom

a = 3.809 Å, b = 3.809 Å, c = 3.809 Å
α = 90.00°, β = 90.00°, γ = 90.00°
Atoms (fractional coordinates):
Hf  0.000  0.000  0.000
Fe  0.000  0.500  0.500
Fe  0.500  0.000  0.500
Fe  0.500  0.500  0.000
H  0.500  0.500  0.500

=====

Entry 6:
Computed, not measured: an optimized crystal structure of Ac5Nd3S8 at the PBE level of DFT.

magnetic moment = 0.0 μB per formula unit
space-group type = No. 166
uncorrected energy = -6.245 eV/atom
formation energy without anion corrections = -2.00 eV per atom

a = 8.444 Å, b = 8.444 Å, c = 8.444 Å
α = 59.92°, β = 59.92°, γ = 59.92°
Atoms (fractional coordinates):
Ac  0.000  0.000  0.000
Ac  0.000  0.500  0.500
Ac  0.500  0.000  0.500
Ac  0.500  0.500  0.000
Ac  0.500  0.500  0.500
Nd  0.000  0.000  0.500
Nd  0.000  0.500  0.000
Nd  0.500  0.000  0.000
S  0.239  0.750  0.750
S  0.245  0.245  0.245
S  0.250  0.250  0.761
S  0.250  0.761  0.250
S  0.750  0.239  0.750
S  0.750  0.750  0.239
S  0.755  0.755  0.755
S  0.761  0.250  0.250

=====

Entry 7:
Computed, not measured: an optimized crystal structure of Ac4Bi2SbBr at the PBE level of DFT.

magnetic moment = 0.0 μB per formula unit
space-group type = No. 10
uncorrected energy = -4.872 eV/atom
formation energy without anion corrections = -1.12 eV per atom

a = 8.238 Å, b = 4.833 Å, c = 8.276 Å
α = 90.00°, β = 109.86°, γ = 90.00°
Atoms (fractional coordinates):
Ac  0.247  0.000  0.244
Ac  0.252  0.500  0.757
Ac  0.748  0.500  0.243
Ac  0.753  0.000  0.756
Bi  0.500  0.000  0.000
Bi  0.500  0.500  0.500
Sb  0.000  0.500  0.000
Br  0.000  0.000  0.500

=====

Entry 8:
Computed, not measured: an optimized crystal structure of Cs2NbCl5O at the PBE level of DFT.

magnetic moment = 0.0 μB per formula unit
space-group type = No. 107
uncorrected energy = -4.722 eV/atom
formation energy without anion corrections = -1.84 eV per atom

a = 7.551 Å, b = 7.551 Å, c = 7.551 Å
α = 122.50°, β = 122.50°, γ = 85.72°
Atoms (fractional coordinates):
Cs  0.000  0.500  0.500
Cs  0.500  0.000  0.500
Nb  0.268  0.268  0.000
Cl  0.011  0.011  0.527
Cl  0.011  0.484  0.000
Cl  0.026  0.026  0.000
Cl  0.484  0.011  0.000
Cl  0.484  0.484  0.473
O  0.427  0.427  0.000

=====

Entry 9:
Computed, not measured: an optimized crystal structure of ZnCu2TeO6 at the PBE level of DFT.

magnetic moment = 1.8 μB per formula unit
space-group type = No. 15
uncorrected energy = -5.089 eV/atom
formation energy without anion corrections = -0.85 eV per atom

a = 6.498 Å, b = 6.498 Å, c = 6.910 Å
α = 103.75°, β = 103.75°, γ = 74.36°
Atoms (fractional coordinates):
Zn  0.139  0.861  0.750
Zn  0.861  0.139  0.250
Cu  0.269  0.379  0.894
Cu  0.379  0.269  0.394
Cu  0.621  0.731  0.606
Cu  0.731  0.621  0.106
Te  0.247  0.753  0.250
Te  0.753  0.247  0.750
O  0.071  0.184  0.786
O  0.184  0.071  0.286
O  0.253  0.437  0.179
O  0.282  0.694  0.964
O  0.306  0.718  0.536
O  0.437  0.253  0.679
O  0.563  0.747  0.321
O  0.694  0.282  0.464
O  0.718  0.306  0.036
O  0.747  0.563  0.821
O  0.816  0.929  0.714
O  0.929  0.816  0.214

=====

Entry 10:
Computed, not measured: an optimized crystal structure of Zn4PbAu at the PBE level of DFT.

magnetic moment = 0.0 μB per formula unit
energy of formation from the pure elements = 0.0611 eV/atom
space-group type = No. 216
uncorrected energy = -1.952 eV/atom

a = 5.368 Å, b = 5.368 Å, c = 5.368 Å
α = 60.00°, β = 60.00°, γ = 60.00°
Atoms (fractional coordinates):
Zn  0.124  0.124  0.124
Zn  0.124  0.124  0.627
Zn  0.124  0.627  0.124
Zn  0.627  0.124  0.124
Pb  0.500  0.500  0.500
Au  0.750  0.750  0.750

=====

Entry 11:
Computed, not measured: an optimized crystal structure of Zn2GeBrN at the PBE level of DFT.

magnetic moment = 0.0 μB per formula unit
space-group type = No. 123
uncorrected energy = -1.565 eV/atom
formation energy without anion corrections = 1.87 eV per atom

a = 4.985 Å, b = 4.985 Å, c = 5.326 Å
α = 90.00°, β = 90.00°, γ = 90.00°
Atoms (fractional coordinates):
Zn  0.000  0.500  0.000
Zn  0.500  0.000  0.000
Ge  0.000  0.000  0.500
Br  0.000  0.000  0.000
N  0.500  0.500  0.500

=====

Entry 12:
Computed, not measured: an optimized crystal structure of ZrBe2B at the PBE level of DFT.

magnetic moment = 0.0 μB per formula unit
energy of formation from the pure elements = -0.0387 eV/atom
space-group type = No. 141
uncorrected energy = -5.708 eV/atom

a = 7.024 Å, b = 7.024 Å, c = 7.024 Å
α = 148.54°, β = 148.54°, γ = 45.09°
Atoms (fractional coordinates):
Zr  0.375  0.625  0.750
Zr  0.625  0.375  0.250
Be  0.000  0.000  0.000
Be  0.000  0.000  0.500
Be  0.000  0.500  0.000
Be  0.500  0.000  0.500
B  0.125  0.875  0.250
B  0.875  0.125  0.750

=====

Q: Look up the magnetic moment of the twelfth one.
A: 0.0 μB per formula unit

=====

Q: Which formula does entry 4 have?
A: BaPbAu4